KDyMo2O8: relaxed, PBE with a Hubbard U.

Cell: 5.1392 8.0686 18.9049 Å, 90.00 90.00 90.00°
Atoms (fractional coordinates):
K 0.0000 0.7500 0.7752
K 0.0000 0.2500 0.2248
K 0.5000 0.2500 0.7248
K 0.5000 0.7500 0.2752
Dy 0.0000 0.7500 0.0037
Dy 0.0000 0.2500 0.9963
Dy 0.5000 0.2500 0.4963
Dy 0.5000 0.7500 0.5037
Mo 0.0218 0.5094 0.4001
Mo 0.9782 0.4906 0.5999
Mo 0.4782 0.0094 0.0999
Mo 0.9782 0.9906 0.4001
Mo 0.5218 0.9906 0.9001
Mo 0.0218 0.0094 0.5999
Mo 0.5218 0.4906 0.0999
Mo 0.4782 0.5094 0.9001
O 0.1004 0.9859 0.3135
O 0.8996 0.0141 0.6865
O 0.3996 0.4859 0.1865
O 0.8996 0.5141 0.3135
O 0.6004 0.5141 0.8135
O 0.1004 0.4859 0.6865
O 0.6004 0.0141 0.1865
O 0.3996 0.9859 0.8135
O 0.2664 0.8325 0.0954
O 0.7336 0.1675 0.9046
O 0.2336 0.3325 0.4046
O 0.7336 0.6675 0.0954
O 0.7664 0.6675 0.5954
O 0.2664 0.3325 0.9046
O 0.7664 0.1675 0.4046
O 0.2336 0.8325 0.5954
O 0.2472 0.5032 0.0351
O 0.7528 0.4968 0.9649
O 0.2528 0.0032 0.4649
O 0.7528 0.9968 0.0351
O 0.7472 0.9968 0.5351
O 0.2472 0.0032 0.9649
O 0.7472 0.4968 0.4649
O 0.2528 0.5032 0.5351
O 0.2420 0.6848 0.4080
O 0.7580 0.3152 0.5920
O 0.2580 0.1848 0.0920
O 0.7580 0.8152 0.4080
O 0.7420 0.8152 0.9080
O 0.2420 0.1848 0.5920
O 0.7420 0.3152 0.0920
O 0.2580 0.6848 0.9080

Results
The value obtained for the total energy is -7.1419 eV/atom. The space group is Pbcn (60). The calculation puts the density of states at the Fermi level at 0.00 states/eV/atom.